No. 1
The following is a meta-GGA SCAN calculation of a PBEsol-optimized structure of Co5W, from the Alexandria database.

Computed properties:
As for the space group: No. 8. The formation energy from the elements comes out at 4.86 kcal/mol of atoms. As for the total energy: -25.824 eV per atom.

Lattice parameters (Å, degrees): 2.561 4.751 5.876 104.23 90.00 105.63
Site moments in Bohr magnetons follow the coordinates.
Atoms (fractional coordinates):
Co: 0.392 0.783 0.282  1.52
Co: 0.340 0.679 0.662  1.54
W: 0.719 0.438 0.941  -0.32
Co: 0.670 0.340 0.341  1.66
Co: 0.996 0.992 0.009  1.23
Co: 0.050 0.101 0.598  1.61

***

No. 2
The following is a meta-GGA SCAN calculation of a PBEsol-optimized structure of Ca16Sb11, from the Alexandria database.

Computed properties:
As for the space group: No. 113. The value obtained for the formation energy from raw total energies is -1.12 eV per atom. As for the total energy: -22.024 eV per atom.

Lattice parameters (Å, degrees): 11.183 12.096 12.097 90.00 90.00 90.00
Atoms (fractional coordinates):
Ca: 0.709 0.074 0.790
Ca: 0.291 0.790 0.926
Ca: 0.857 0.500 0.000
Ca: 0.313 0.068 0.794
Ca: 0.999 0.088 0.208
Ca: 0.291 0.574 0.710
Ca: 0.001 0.792 0.087
Sb: 0.511 0.877 0.377
Sb: 0.967 0.855 0.355
Ca: 0.218 0.500 0.000
Ca: 0.687 0.795 0.932
Ca: 0.687 0.432 0.294
Ca: 0.143 0.000 0.500
Sb: 0.033 0.355 0.145
Ca: 0.709 0.926 0.210
Ca: 0.001 0.208 0.913
Sb: 0.489 0.377 0.123
Sb: 0.236 0.834 0.666
Ca: 0.001 0.412 0.708
Ca: 0.709 0.290 0.574
Ca: 0.499 0.637 0.137
Sb: 0.764 0.666 0.166
Ca: 0.313 0.705 0.432
Ca: 0.313 0.295 0.568
Sb: 0.236 0.166 0.334
Ca: 0.501 0.137 0.363
Sb: 0.511 0.123 0.623
Ca: 0.291 0.426 0.290
Sb: 0.151 0.000 0.000
Ca: 0.999 0.292 0.413
Ca: 0.291 0.210 0.074
Sb: 0.237 0.320 0.819
Ca: 0.687 0.568 0.706
Sb: 0.237 0.680 0.181
Sb: 0.967 0.145 0.645
Ca: 0.501 0.863 0.637
Ca: 0.999 0.708 0.587
Sb: 0.764 0.334 0.834
Sb: 0.849 0.500 0.500
Sb: 0.849 0.000 0.000
Sb: 0.489 0.623 0.877
Sb: 0.500 0.000 0.000
Ca: 0.709 0.710 0.426
Sb: 0.500 0.500 0.500
Ca: 0.001 0.588 0.292
Ca: 0.313 0.932 0.206
Ca: 0.687 0.205 0.068
Sb: 0.033 0.645 0.855
Ca: 0.782 0.000 0.500
Sb: 0.763 0.180 0.319
Sb: 0.151 0.500 0.500
Ca: 0.499 0.363 0.863
Sb: 0.763 0.820 0.681
Ca: 0.999 0.912 0.792

***

No. 3
The following is a meta-GGA SCAN calculation of a PBEsol-optimized structure of LaNi2Hg, from the Alexandria database.

Computed properties:
As for the space group: No. 216. The formation energy from the elements comes out at 3.73 kcal/mol of atoms. As for the total energy: -35.743 eV per atom.

Lattice parameters (Å, degrees): 4.750 4.750 4.750 60.00 60.00 60.00
Site moments in Bohr magnetons follow the coordinates.
Atoms (fractional coordinates):
Hg: 0.500 0.500 0.500  0.01
La: 0.250 0.250 0.250  0.01
Ni: 0.750 0.750 0.750  -0.63
Ni: 0.000 0.000 0.000  -0.07

***

No. 4
The following is a meta-GGA SCAN calculation of a PBEsol-optimized structure of MgCdSe4, from the Alexandria database.

Computed properties:
As for the space group: No. 216. The value obtained for the formation energy from raw total energies is 0.36 eV per atom. As for the total energy: -18.924 eV per atom.

Lattice parameters (Å, degrees): 5.736 5.736 5.736 60.00 60.00 60.00
Atoms (fractional coordinates):
Se: 0.376 0.376 0.872
Mg: 0.000 0.000 0.000
Cd: 0.750 0.750 0.750
Se: 0.376 0.872 0.376
Se: 0.872 0.376 0.376
Se: 0.376 0.376 0.376

***

No. 5
The following is a meta-GGA SCAN calculation of a PBEsol-optimized structure of Ca2CrAs, from the Alexandria database.

Computed properties:
As for the space group: No. 99. The formation energy from the elements comes out at -4.35 kcal/mol of atoms. As for the total energy: -14.664 eV per atom.

Lattice parameters (Å, degrees): 3.325 3.325 8.243 90.00 90.00 90.00
Site moments in Bohr magnetons follow the coordinates.
Atoms (fractional coordinates):
Ca: 0.500 0.500 0.319  -0.01
As: 0.500 0.500 0.681  -0.21
Cr: 0.000 0.000 0.574  3.40
Ca: 0.000 0.000 0.926  0.00

***

No. 6
The following is a meta-GGA SCAN calculation of a PBEsol-optimized structure of TaMo3, from the Alexandria database.

Computed properties:
As for the space group: No. 11. The formation energy from the elements comes out at -2.52 kcal/mol of atoms. As for the total energy: -42.919 eV per atom.

Lattice parameters (Å, degrees): 4.479 5.232 5.474 100.17 90.00 90.00
Atoms (fractional coordinates):
Mo: 0.250 0.377 0.812
Mo: 0.750 0.623 0.188
Mo: 0.250 0.373 0.310
Mo: 0.750 0.627 0.690
Mo: 0.750 0.125 0.936
Ta: 0.250 0.871 0.565
Ta: 0.750 0.129 0.435
Mo: 0.250 0.875 0.064

***

No. 7
The following is a meta-GGA SCAN calculation of a PBEsol-optimized structure of CaZrF2, from the Alexandria database.

Computed properties:
As for the space group: No. 166. The value obtained for the formation energy from raw total energies is -2.01 eV per atom. As for the total energy: -13.866 eV per atom.

Lattice parameters (Å, degrees): 3.160 3.160 7.899 78.46 78.46 60.00
Atoms (fractional coordinates):
F: 0.098 0.098 0.705
F: 0.902 0.902 0.295
Ca: 0.000 0.000 0.000
Zr: 0.500 0.500 0.500

***

No. 8
The following is a meta-GGA SCAN calculation of a PBEsol-optimized structure of Tl3TcAg, from the Alexandria database.

Computed properties:
As for the space group: No. 221. The formation energy from the elements comes out at 15.27 kcal/mol of atoms. As for the total energy: -56.038 eV per atom.

Lattice parameters (Å, degrees): 5.212 5.212 5.212 90.00 90.00 90.00
Site moments in Bohr magnetons follow the coordinates.
Atoms (fractional coordinates):
Tl: 0.500 0.000 0.000  -0.01
Tc: 0.000 0.000 0.000  1.43
Tl: 0.000 0.000 0.500  -0.01
Ag: 0.500 0.500 0.500  0.16
Tl: 0.000 0.500 0.000  -0.01

***

No. 9
The following is a meta-GGA SCAN calculation of a PBEsol-optimized structure of LaReHg2, from the Alexandria database.

Computed properties:
As for the space group: No. 47. The formation energy from the elements comes out at 7.98 kcal/mol of atoms. As for the total energy: -62.287 eV per atom.

Lattice parameters (Å, degrees): 2.995 4.452 6.257 90.00 90.00 90.00
Atoms (fractional coordinates):
Hg: 0.000 0.000 0.719
La: 0.500 0.500 0.000
Re: 0.500 0.500 0.500
Hg: 0.000 0.000 0.281

***

No. 10
The following is a meta-GGA SCAN calculation of a PBEsol-optimized structure of SbIN2, from the Alexandria database.

Computed properties:
As for the space group: No. 166. The value obtained for the formation energy from raw total energies is 1.54 eV per atom. As for the total energy: -21.610 eV per atom.

Lattice parameters (Å, degrees): 3.400 3.400 7.208 76.36 76.36 60.00
Atoms (fractional coordinates):
N: 0.109 0.109 0.672
I: 0.500 0.500 0.500
N: 0.891 0.891 0.328
Sb: 0.000 0.000 0.000

***

No. 11
The following is a meta-GGA SCAN calculation of a PBEsol-optimized structure of NaTbPd6O8, from the Alexandria database.

Computed properties:
As for the space group: No. 200. The value obtained for the formation energy from raw total energies is -1.32 eV per atom. As for the total energy: -19.909 eV per atom.

Lattice parameters (Å, degrees): 5.722 5.722 5.722 90.00 90.00 90.00
Atoms (fractional coordinates):
O: 0.758 0.758 0.758
Na: 0.500 0.500 0.500
Pd: 0.000 0.500 0.749
O: 0.242 0.242 0.758
Pd: 0.251 0.000 0.500
Pd: 0.749 0.000 0.500
O: 0.242 0.758 0.242
O: 0.758 0.242 0.758
Pd: 0.000 0.500 0.251
O: 0.758 0.242 0.242
Pd: 0.500 0.749 0.000
O: 0.242 0.242 0.242
Tb: 0.000 0.000 0.000
Pd: 0.500 0.251 0.000
O: 0.758 0.758 0.242
O: 0.242 0.758 0.758

***

No. 12
The following is a meta-GGA SCAN calculation of a PBEsol-optimized structure of KLiTb2Mo4O16, from the Alexandria database.

Computed properties:
As for the space group: No. 15. The value obtained for the formation energy from raw total energies is -2.65 eV per atom. As for the total energy: -16.962 eV per atom.

Lattice parameters (Å, degrees): 5.172 6.762 19.345 88.65 86.48 67.52
Atoms (fractional coordinates):
O: 0.721 0.037 0.963
O: 0.230 0.269 0.829
O: 0.670 0.338 0.542
Mo: 0.256 0.507 0.852
O: 0.176 0.098 0.398
Tb: 0.352 0.294 0.468
Mo: 0.045 0.876 0.093
O: 0.279 0.963 0.037
O: 0.824 0.902 0.602
O: 0.498 0.731 0.329
Tb: 0.648 0.706 0.532
O: 0.564 0.415 0.214
O: 0.906 0.694 0.868
Mo: 0.744 0.493 0.148
O: 0.242 0.037 0.537
O: 0.727 0.098 0.102
Mo: 0.763 0.493 0.352
O: 0.993 0.338 0.958
Tb: 0.646 0.706 0.968
O: 0.400 0.694 0.632
O: 0.436 0.585 0.786
O: 0.558 0.526 0.067
O: 0.094 0.306 0.132
O: 0.442 0.474 0.933
O: 0.025 0.182 0.671
O: 0.600 0.306 0.368
Mo: 0.237 0.507 0.648
O: 0.979 0.585 0.714
Mo: 0.079 0.876 0.407
O: 0.330 0.662 0.458
O: 0.007 0.662 0.042
O: 0.084 0.474 0.567
K: 0.466 0.067 0.250
O: 0.502 0.269 0.671
O: 0.758 0.963 0.463
O: 0.770 0.731 0.171
Mo: 0.955 0.124 0.907
O: 0.207 0.818 0.171
O: 0.793 0.182 0.829
O: 0.273 0.902 0.898
Li: 0.815 0.370 0.750
K: 0.534 0.933 0.750
O: 0.975 0.818 0.329
O: 0.916 0.526 0.433
Tb: 0.354 0.294 0.032
Li: 0.185 0.630 0.250
Mo: 0.921 0.124 0.593
O: 0.021 0.415 0.286

***

No. 13
The following is a meta-GGA SCAN calculation of a PBEsol-optimized structure of Ag3O4, from the Alexandria database.

Computed properties:
As for the space group: No. 14. The value obtained for the formation energy from raw total energies is -0.13 eV per atom. As for the total energy: -17.136 eV per atom.

Lattice parameters (Å, degrees): 3.604 5.621 9.172 90.00 90.00 104.51
Atoms (fractional coordinates):
O: 0.042 0.830 0.192
Ag: 0.714 0.451 0.859
O: 0.958 0.170 0.808
Ag: 0.286 0.049 0.359
Ag: 0.286 0.549 0.141
O: 0.476 0.272 0.045
Ag: 0.000 0.000 0.000
O: 0.476 0.772 0.455
O: 0.958 0.670 0.692
Ag: 0.000 0.500 0.500
O: 0.042 0.330 0.308
Ag: 0.714 0.951 0.641
O: 0.524 0.728 0.955
O: 0.524 0.228 0.545

***

No. 14
The following is a meta-GGA SCAN calculation of a PBEsol-optimized structure of Ag2WBr, from the Alexandria database.

Computed properties:
As for the space group: No. 65. The value obtained for the formation energy from raw total energies is 0.97 eV per atom. As for the total energy: -37.001 eV per atom.

Lattice parameters (Å, degrees): 2.852 5.255 5.376 119.25 90.00 90.00
Atoms (fractional coordinates):
Ag: 0.000 0.500 0.500
Br: 0.500 0.500 0.000
Ag: 0.000 0.000 0.500
W: 0.500 0.000 0.000

***

No. 15
The following is a meta-GGA SCAN calculation of a PBEsol-optimized structure of La2HgP, from the Alexandria database.

Computed properties:
As for the space group: No. 47. The formation energy from the elements comes out at -22.37 kcal/mol of atoms. As for the total energy: -42.164 eV per atom.

Lattice parameters (Å, degrees): 3.865 5.100 5.111 90.00 90.00 90.00
Atoms (fractional coordinates):
P: 0.625 0.000 0.000
La: 0.125 0.000 0.500
La: 0.125 0.500 0.000
Hg: 0.625 0.500 0.500

***

No. 16
The following is a meta-GGA SCAN calculation of a PBEsol-optimized structure of Mo2AsBr, from the Alexandria database.

Computed properties:
As for the space group: No. 44. The value obtained for the formation energy from raw total energies is 0.54 eV per atom. As for the total energy: -26.815 eV per atom.

Lattice parameters (Å, degrees): 3.134 3.921 5.897 109.42 105.41 90.00
Atoms (fractional coordinates):
Br: 0.219 0.719 0.439
Mo: 0.780 0.280 0.561
Mo: 0.035 0.035 0.069
As: 0.466 0.466 0.932

***

No. 17
The following is a meta-GGA SCAN calculation of a PBEsol-optimized structure of Ag5Au3, from the Alexandria database.

Computed properties:
As for the space group: No. 140. The formation energy from the elements comes out at 0.04 kcal/mol of atoms. As for the total energy: -45.536 eV per atom.

Lattice parameters (Å, degrees): 5.167 7.776 7.776 83.66 70.59 70.59
Atoms (fractional coordinates):
Au: 0.827 0.500 0.846
Ag: 0.250 0.500 0.500
Au: 0.250 0.000 0.000
Ag: 0.735 0.837 0.693
Ag: 0.765 0.307 0.163
Ag: 0.072 0.163 0.693
Ag: 0.235 0.693 0.837
Ag: 0.428 0.307 0.837
Au: 0.673 0.154 0.500
Au: 0.750 0.000 0.000
Ag: 0.265 0.163 0.307
Au: 0.173 0.500 0.154
Au: 0.327 0.846 0.500
Ag: 0.572 0.693 0.163
Ag: 0.750 0.500 0.500
Ag: 0.928 0.837 0.307

***

No. 18
The following is a meta-GGA SCAN calculation of a PBEsol-optimized structure of TiCo2AgRu, from the Alexandria database.

Computed properties:
As for the space group: No. 123. The formation energy from the elements comes out at 26.23 kcal/mol of atoms. As for the total energy: -22.229 eV per atom.

Lattice parameters (Å, degrees): 4.228 4.228 4.409 90.00 90.00 90.00
Site moments in Bohr magnetons follow the coordinates.
Atoms (fractional coordinates):
Ti: 0.000 0.000 0.000  -0.42
Ag: 0.500 0.500 0.500  0.01
Co: 0.000 0.500 0.000  1.24
Ru: 0.000 0.000 0.500  0.49
Co: 0.500 0.000 0.000  1.24

***

No. 19
The following is a meta-GGA SCAN calculation of a PBEsol-optimized structure of Tl2CrAu, from the Alexandria database.

Computed properties:
As for the space group: No. 160. The formation energy from the elements comes out at 4.31 kcal/mol of atoms. As for the total energy: -57.878 eV per atom.

Lattice parameters (Å, degrees): 3.313 3.313 9.288 79.73 79.73 60.00
Site moments in Bohr magnetons follow the coordinates.
Atoms (fractional coordinates):
Au: 0.509 0.509 0.472  0.05
Cr: 0.243 0.243 0.270  3.75
Tl: 0.757 0.757 0.728  -0.01
Tl: 0.990 0.990 0.030  -0.01

***

No. 20
The following is a meta-GGA SCAN calculation of a PBEsol-optimized structure of Co2HgRh, from the Alexandria database.

Computed properties:
As for the space group: No. 99. The formation energy from the elements comes out at 3.57 kcal/mol of atoms. As for the total energy: -33.981 eV per atom.

Lattice parameters (Å, degrees): 2.856 2.856 6.666 90.00 90.00 90.00
Site moments in Bohr magnetons follow the coordinates.
Atoms (fractional coordinates):
Co: 0.000 0.000 0.018  2.16
Co: 0.500 0.500 0.204  1.84
Rh: 0.500 0.500 0.790  0.71
Hg: 0.000 0.000 0.488  -0.03